1.
# PBE BeP2OsS, optimized geometry
# Calculated volume   104 Å³ per cell
# Energy relative to the elements, uncorrected   96.7 kJ per mole of atoms
# Density   4.70 g/cm³
# Distance to the lowest polymorph of the same formula   0.0000 eV/atom
data_BeP2OsS
_cell_length_a 4.416
_cell_length_b 4.416
_cell_length_c 5.312
_cell_angle_alpha 90.00
_cell_angle_beta 90.00
_cell_angle_gamma 90.00
_symmetry_space_group_name_H-M 'P 4/m m m'
_symmetry_Int_Tables_number 123
_symmetry_space_group_name_Hall '-P 4 2'
loop_
_atom_site_label
_atom_site_fract_x
_atom_site_fract_y
_atom_site_fract_z
Be1 0.000 0.000 0.000
P1 0.000 0.500 0.500
Os1 0.500 0.500 0.500
S1 0.500 0.500 0.000


2.
# PBE Y4Pt5, optimized geometry
# Calculated volume   379 Å³ per cell
# Density   11.67 g/cm³
# Distance to the lowest polymorph of the same formula   0.0000 eV/atom
# DFT formation energy   -1.084 eV per atom
data_Y4Pt5
_cell_length_a 8.5403
_cell_length_b 8.5403
_cell_length_c 5.9981
_cell_angle_alpha 90.00
_cell_angle_beta 90.00
_cell_angle_gamma 120.00
_symmetry_space_group_name_H-M 'P 63/m c m'
_symmetry_Int_Tables_number 193
_symmetry_space_group_name_Hall '-P 6c 2'
loop_
_atom_site_label
_atom_site_fract_x
_atom_site_fract_y
_atom_site_fract_z
Y1 0.0000 0.0000 0.0000
Y2 0.0000 0.3752 0.2500
Pt1 0.0000 0.2907 0.7500
Pt2 0.3333 0.6667 0.0000


3.
# PBE CaNdTh2P4, optimized geometry
# Calculated volume   203 Å³ per cell
# Density   6.31 g/cm³
# DFT formation energy   -1.489 eV per atom
data_CaNdTh2P4
_cell_length_a 7.170
_cell_length_b 4.167
_cell_length_c 7.215
_cell_angle_alpha 90.00
_cell_angle_beta 109.60
_cell_angle_gamma 90.00
_symmetry_space_group_name_H-M 'P 1 2/m 1'
_symmetry_Int_Tables_number 10
loop_
_symmetry_equiv_pos_as_xyz
'x,y,z'
'-x,-y,-z'
'-x,y,-z'
'x,-y,z'
loop_
_atom_site_label
_atom_site_fract_x
_atom_site_fract_y
_atom_site_fract_z
Ca1 0.000 0.000 0.000
Nd1 0.000 0.500 0.500
Th1 0.500 0.000 0.500
Th2 0.500 0.500 0.000
P1 0.255 0.000 0.751
P2 0.258 0.500 0.253


4.
# PBE Th3Al3Ga, optimized geometry
# Calculated volume   695 Å³ per cell
# Density   8.09 g/cm³
# DFT formation energy   -0.395 eV per atom
data_Th3Al3Ga
_cell_length_a 11.298
_cell_length_b 4.409
_cell_length_c 14.750
_cell_angle_alpha 90.00
_cell_angle_beta 108.86
_cell_angle_gamma 90.00
_symmetry_space_group_name_H-M 'C 1 2/m 1'
_symmetry_Int_Tables_number 12
loop_
_symmetry_equiv_pos_as_xyz
'x,y,z'
'-x,-y,-z'
'-x,y,-z'
'x,-y,z'
'x+1/2,y+1/2,z'
'-x+1/2,-y+1/2,-z'
'-x+1/2,y+1/2,-z'
'x+1/2,-y+1/2,z'
loop_
_atom_site_label
_atom_site_fract_x
_atom_site_fract_y
_atom_site_fract_z
Th1 0.015 0.000 0.380
Th2 0.111 0.000 0.922
Th3 0.240 0.000 0.228
Al1 0.024 0.500 0.228
Al2 0.104 0.500 0.075
Al3 0.145 0.500 0.543
Ga1 0.228 0.500 0.384


5.
# PBE AsOs2RuO, optimized geometry
# Calculated volume   95 Å³ per cell
# Energy relative to the elements, uncorrected   205.4 kJ per mole of atoms
# Density   9.99 g/cm³
data_AsOs2RuO
_cell_length_a 4.561
_cell_length_b 4.561
_cell_length_c 4.574
_cell_angle_alpha 90.00
_cell_angle_beta 90.00
_cell_angle_gamma 90.00
_symmetry_space_group_name_H-M 'P 4/m m m'
_symmetry_Int_Tables_number 123
_symmetry_space_group_name_Hall '-P 4 2'
loop_
_atom_site_label
_atom_site_fract_x
_atom_site_fract_y
_atom_site_fract_z
As1 0.000 0.000 0.000
Os1 0.000 0.500 0.000
Ru1 0.000 0.000 0.500
O1 0.500 0.500 0.500


6.
# PBE MoHPtW2, optimized geometry
# Calculated volume   65 Å³ per cell
# Density   16.86 g/cm³
# Distance to the lowest polymorph of the same formula   0.0000 eV/atom
data_MoHPtW2
_cell_length_a 4.033
_cell_length_b 4.033
_cell_length_c 3.995
_cell_angle_alpha 90.00
_cell_angle_beta 90.00
_cell_angle_gamma 90.00
_symmetry_space_group_name_H-M 'P 4/m m m'
_symmetry_Int_Tables_number 123
_symmetry_space_group_name_Hall '-P 4 2'
loop_
_atom_site_label
_atom_site_fract_x
_atom_site_fract_y
_atom_site_fract_z
Mo1 0.000 0.000 0.000
H1 0.000 0.000 0.500
Pt1 0.500 0.500 0.000
W1 0.000 0.500 0.500


7.
# PBE TbErTl2, optimized geometry
# Calculated volume   349 Å³ per cell
# Density   10.49 g/cm³
# DFT formation energy   -0.257 eV per atom
data_TbErTl2
_cell_length_a 3.7368
_cell_length_b 3.7368
_cell_length_c 28.8752
_cell_angle_alpha 90.00
_cell_angle_beta 90.00
_cell_angle_gamma 120.00
_symmetry_space_group_name_H-M 'R -3 m'
_symmetry_Int_Tables_number 166
_symmetry_space_group_name_Hall '-R 3 2"'
loop_
_atom_site_label
_atom_site_fract_x
_atom_site_fract_y
_atom_site_fract_z
Tb1 0.0000 0.0000 0.0000
Er1 0.0000 0.0000 0.5000
Tl1 0.0000 0.0000 0.2492


8.
# PBE TbPrSnSe, optimized geometry
# Calculated volume   117 Å³ per cell
# Energy relative to the elements, uncorrected   -123.7 kJ per mole of atoms
# Density   7.09 g/cm³
data_TbPrSnSe
_cell_length_a 4.339
_cell_length_b 4.339
_cell_length_c 6.192
_cell_angle_alpha 90.00
_cell_angle_beta 90.00
_cell_angle_gamma 90.00
_symmetry_space_group_name_H-M 'P 4/m m m'
_symmetry_Int_Tables_number 123
_symmetry_space_group_name_Hall '-P 4 2'
loop_
_atom_site_label
_atom_site_fract_x
_atom_site_fract_y
_atom_site_fract_z
Tb1 0.000 0.000 0.000
Pr1 0.500 0.500 0.500
Sn1 0.500 0.500 0.000
Se1 0.000 0.000 0.500